Compound: SrGeSe2
Source: Alexandria
Functional: GGA-PBE
Structure: relaxed

## Properties
E_tot = -67.006 eV for the cell shown
V = 579.1 Å³/cell

a = 6.463 Å, b = 6.463 Å, c = 13.865 Å
α = 90.00°, β = 90.00°, γ = 90.00°
Space group I-42d (No. 122)
Unique sites:
1 Sr 0.000 0.000 0.000 x4
2 Ge 0.000 0.000 0.500 x4
3 Se 0.209 0.250 0.625 x8